#A
12
Lattice="-2.441 -9.571 1.646 2.757 -2.310 -9.346 9.312 -1.825 3.198" Properties=species:S:1:pos:R:3 comment="RbGa (PBE, relaxed)" space_group="Pm-3n (223)" total_magnetization_mub_per_fu=0.0 pbc="T T T"
Rb 8.363 -2.524 -2.274
Rb -0.531 -5.363 -1.514
Rb 4.046 -3.305 2.011
Ga 5.345 -1.490 -0.737
Ga 6.724 -2.645 -5.410
Rb 2.825 -8.091 2.834
Rb 3.707 -1.611 -3.873
Rb 0.847 -6.518 -6.186
Ga 5.764 -6.155 3.222
Ga -0.452 -8.334 -3.439
Ga 0.768 -3.548 -4.261
Ga 1.107 -5.242 1.622

=====

#B
8
Lattice="-4.804 -0.211 6.426 3.066 -7.127 2.058 5.652 3.687 4.346" Properties=species:S:1:pos:R:3 comment="RbGa (PBE, relaxed)" space_group="F-43m (216)" total_magnetization_mub_per_fu=0.0 pbc="T T T"
Ga 0.109 -4.582 7.450
Ga 0.978 -0.913 3.208
Rb 0.424 1.738 5.386
Ga 1.402 0.825 8.594
Rb -0.869 -3.669 4.242
Rb 4.359 -1.720 3.202
Rb 0.000 0.000 0.000
Ga 5.337 -2.633 6.410

=====

#C
4
Lattice="6.163 0.000 0.000 -3.082 5.337 0.000 0.000 0.000 7.337" Properties=species:S:1:pos:R:3 comment="RbGa (PBE, relaxed)" space_group="P6_3/mmc (194)" total_magnetization_mub_per_fu=0.0 pbc="T T T"
Ga 0.000 3.558 1.834
Ga 3.082 1.779 5.503
Rb 0.000 3.558 5.503
Rb 3.082 1.779 1.834

=====

Relative energies, eV/atom: #A 0.152; #B 0.093; #C 0.000.